[1]
# PBE-GGA BeAgSe2, optimized geometry
# DOS at the Fermi energy = 3.541 states/eV/cell
data_BeAgSe2
_cell_length_a 3.494
_cell_length_b 3.590
_cell_length_c 7.900
_cell_angle_alpha 90.00
_cell_angle_beta 90.00
_cell_angle_gamma 90.00
_symmetry_space_group_name_H-M 'P m m m'
_symmetry_Int_Tables_number 47
loop_
_symmetry_equiv_pos_as_xyz
'x,y,z'
'-x,-y,-z'
'-x,-y,z'
'x,y,-z'
'x,-y,-z'
'-x,y,z'
'-x,y,-z'
'x,-y,z'
loop_
_atom_site_label
_atom_site_fract_x
_atom_site_fract_y
_atom_site_fract_z
_atom_site_occupancy
Be1 0.000 0.000 0.000 1
Ag1 0.000 0.500 0.500 1
Se1 0.500 0.000 0.500 1
Se2 0.500 0.500 0.000 1

***

[2]
# PBE-GGA TiNiHPd2, optimized geometry
# DOS at the Fermi energy = 3.251 states/eV/cell
data_TiNiHPd2
_cell_length_a 3.883
_cell_length_b 3.883
_cell_length_c 3.982
_cell_angle_alpha 90.00
_cell_angle_beta 90.00
_cell_angle_gamma 90.00
_symmetry_space_group_name_H-M 'P 4/m m m'
_symmetry_Int_Tables_number 123
_symmetry_space_group_name_Hall '-P 4 2'
loop_
_atom_site_label
_atom_site_fract_x
_atom_site_fract_y
_atom_site_fract_z
_atom_site_occupancy
Ti1 0.000 0.000 0.000 1
Ni1 0.500 0.500 0.000 1
H1 0.000 0.000 0.500 1
Pd1 0.000 0.500 0.500 1

***

[3]
# PBE-GGA PuSc3P4, optimized geometry
# ΔE_f = -11.12 eV/f.u.
# DOS at the Fermi energy = 19.122 states/eV/cell
data_PuSc3P4
_cell_length_a 6.584
_cell_length_b 7.636
_cell_length_c 6.627
_cell_angle_alpha 90.00
_cell_angle_beta 109.55
_cell_angle_gamma 90.00
_symmetry_space_group_name_H-M 'P 1 2/c 1'
_symmetry_Int_Tables_number 13
loop_
_symmetry_equiv_pos_as_xyz
'x,y,z'
'-x,-y,-z'
'-x,y,-z+1/2'
'x,-y,z+1/2'
loop_
_atom_site_label
_atom_site_fract_x
_atom_site_fract_y
_atom_site_fract_z
_atom_site_occupancy
Pu1 0.000 0.128 0.250 1
Sc1 0.000 0.377 0.750 1
Sc2 0.500 0.129 0.750 1
Sc3 0.500 0.377 0.250 1
P1 0.254 0.380 0.503 1
P2 0.256 0.128 0.000 1

***

[4]
# PBE-GGA Sr2Cd4In3Sn, optimized geometry
# ΔE_f = -2.86 eV/f.u.
# DOS at the Fermi energy = 4.420 states/eV/cell
data_Sr2Cd4In3Sn
_cell_length_a 4.800
_cell_length_b 4.800
_cell_length_c 12.377
_cell_angle_alpha 90.00
_cell_angle_beta 90.00
_cell_angle_gamma 90.00
_symmetry_space_group_name_H-M 'P -4 m 2'
_symmetry_Int_Tables_number 115
loop_
_symmetry_equiv_pos_as_xyz
'x,y,z'
'y,-x,-z'
'-x,-y,z'
'-y,x,-z'
'-x,y,z'
'-y,-x,-z'
'x,-y,z'
'y,x,-z'
loop_
_atom_site_label
_atom_site_fract_x
_atom_site_fract_y
_atom_site_fract_z
_atom_site_occupancy
Sr1 0.000 0.500 0.247 1
Cd1 0.000 0.000 0.000 1
Cd2 0.000 0.500 0.641 1
Cd3 0.500 0.500 0.000 1
In1 0.000 0.500 0.865 1
In2 0.500 0.500 0.500 1
Sn1 0.000 0.000 0.500 1

***

[5]
# PBE-GGA NbRePW2, optimized geometry
# ΔE_f = 3.32 eV/f.u.
# DOS at the Fermi energy = 8.575 states/eV/cell
data_NbRePW2
_cell_length_a 4.441
_cell_length_b 4.441
_cell_length_c 4.387
_cell_angle_alpha 90.00
_cell_angle_beta 90.00
_cell_angle_gamma 90.00
_symmetry_space_group_name_H-M 'P 4/m m m'
_symmetry_Int_Tables_number 123
_symmetry_space_group_name_Hall '-P 4 2'
loop_
_atom_site_label
_atom_site_fract_x
_atom_site_fract_y
_atom_site_fract_z
_atom_site_occupancy
Nb1 0.000 0.000 0.000 1
Re1 0.500 0.500 0.000 1
P1 0.500 0.500 0.500 1
W1 0.000 0.500 0.500 1

***

[6]
# PBE-GGA LaPb2BrO4, optimized geometry
# DOS at the Fermi energy = 3.912 states/eV/cell
data_LaPb2BrO4
_cell_length_a 4.090
_cell_length_b 4.090
_cell_length_c 9.355
_cell_angle_alpha 90.00
_cell_angle_beta 90.00
_cell_angle_gamma 90.00
_symmetry_space_group_name_H-M 'P 4/m m m'
_symmetry_Int_Tables_number 123
_symmetry_space_group_name_Hall '-P 4 2'
loop_
_atom_site_label
_atom_site_fract_x
_atom_site_fract_y
_atom_site_fract_z
_atom_site_occupancy
La1 0.000 0.000 0.000 1
Pb1 0.500 0.500 0.269 1
Br1 0.000 0.000 0.500 1
O1 0.000 0.500 0.155 1

***

[7]
Material: GaAgPb2Se4
Method: DFT, PBE-GGA
State: optimized geometry

```
data_GaAgPb2Se4
_cell_length_a 6.448
_cell_length_b 6.794
_cell_length_c 6.963
_cell_angle_alpha 112.50
_cell_angle_beta 110.50
_cell_angle_gamma 103.18
_symmetry_space_group_name_H-M 'P 1'
_symmetry_Int_Tables_number 1
loop_
_symmetry_equiv_pos_as_xyz
'x,y,z'
loop_
_atom_site_label
_atom_site_fract_x
_atom_site_fract_y
_atom_site_fract_z
_atom_site_occupancy
Ga1 0.000 0.000 0.000 1
Ag1 0.259 0.758 0.517 1
Pb1 0.544 0.545 0.089 1
Pb2 0.776 0.276 0.554 1
Se1 0.139 0.091 0.745 1
Se2 0.303 0.887 0.208 1
Se3 0.606 0.655 0.745 1
Se4 0.905 0.321 0.209 1
```

***

[8]
# PBE-GGA AcHoMgAg, optimized geometry
# ΔE_f = -0.38 eV/f.u.
# DOS at the Fermi energy = 15.204 states/eV/cell
data_AcHoMgAg
_cell_length_a 7.761
_cell_length_b 7.761
_cell_length_c 7.761
_cell_angle_alpha 90.00
_cell_angle_beta 90.00
_cell_angle_gamma 90.00
_symmetry_space_group_name_H-M 'F -4 3 m'
_symmetry_Int_Tables_number 216
_symmetry_space_group_name_Hall 'F -4 2 3'
loop_
_atom_site_label
_atom_site_fract_x
_atom_site_fract_y
_atom_site_fract_z
_atom_site_occupancy
Ac1 0.000 0.000 0.000 1
Ho1 0.000 0.000 0.500 1
Mg1 0.250 0.250 0.250 1
Ag1 0.250 0.250 0.750 1

***

| no. | total DFT energy (no corrections) (eV/f.u.) |
| --- | --- |
| 1 | -12.57 |
| 2 | -28.90 |
| 3 | -66.09 |
| 4 | -22.11 |
| 5 | -50.52 |
| 6 | -46.90 |
| 7 | -30.58 |
| 8 | -13.51 |